The following is a DFT calculation (PBE) of a relaxed structure of TlGa2F6.

```
9
Lattice="5.483 0.000 0.000 -2.741 4.748 0.000 0.000 0.000 6.234" Properties=species:S:1:pos:R:3 pbc="T T T"
Tl 0.000 0.000 0.000
Ga 0.000 3.165 3.117
Ga 2.741 1.583 3.117
F -1.062 1.840 4.221
F -1.679 2.908 2.013
F 2.124 0.000 4.221
F 1.062 1.840 2.013
F 3.358 0.000 2.013
F 1.679 2.908 4.221
```

Values from the calculation:
**Distance to the lowest polymorph of the same formula**: 0.000 eV/atom

The following is a DFT calculation (PBE) of a relaxed structure of Tl3GaF6.

```
20
Lattice="5.155 -6.908 0.000 5.155 6.908 0.000 0.000 0.000 6.657" Properties=species:S:1:pos:R:3 pbc="T T T"
Tl 5.155 5.561 3.328
Tl 3.034 1.305 3.371
Tl 3.034 -1.305 0.042
Tl 7.276 1.305 3.371
Tl 7.276 -1.305 0.042
Tl 5.155 -5.561 0.000
Ga 5.155 2.643 0.239
Ga 5.155 -2.643 3.568
F 3.690 3.407 0.960
F 1.616 0.018 1.680
F 1.616 -0.018 5.008
F 5.155 2.863 5.115
F 6.620 3.407 0.960
F 5.155 0.882 0.647
F 5.155 -0.882 3.976
F 3.690 -3.407 4.289
F 5.155 -2.863 1.786
F 8.694 0.018 1.680
F 8.694 -0.018 5.008
F 6.620 -3.407 4.289
```

The following is a DFT calculation (PBE) of a relaxed structure of TlGa3F.

```
5
Lattice="5.505 0.000 0.000 0.000 5.505 0.000 0.000 0.000 5.505" Properties=species:S:1:pos:R:3 pbc="T T T"
Tl 0.000 0.000 0.000
Ga 0.000 0.000 2.753
Ga 0.000 2.753 0.000
Ga 2.753 0.000 0.000
F 2.753 2.753 2.753
```

Values from the calculation:
**Distance to the lowest polymorph of the same formula**: 0.581 eV/atom

Number 1: ρ 4.68 g/cm³, N(E_F) 0.32 states/eV/atom, E_form (uncorrected) -2.242 eV per atom. Number 2: ρ 5.58 g/cm³, N(E_F) 0.00 states/eV/atom, E_form (uncorrected) -2.124 eV per atom. Number 3: ρ 4.30 g/cm³, N(E_F) 0.81 states/eV/atom, E_form (uncorrected) 0.212 eV per atom.